Below is a relaxed structure of Ce6Pm4Pb7, with properties calculated at the GGA-PBE level.

Structure (POSCAR):
```
Ce6Pm4Pb7
1.0
-5.182 5.182 5.182
5.182 -5.182 5.182
5.182 5.182 -5.182
Ce Pm Pb
6 4 7
direct
0.000 0.300 0.300
0.000 0.700 0.700
0.300 0.000 0.300
0.300 0.300 0.000
0.700 0.000 0.700
0.700 0.700 0.000
0.000 0.000 0.500
0.000 0.500 0.000
0.500 0.000 0.000
0.500 0.500 0.500
0.000 0.000 0.000
0.250 0.500 0.750
0.250 0.750 0.500
0.500 0.250 0.750
0.500 0.750 0.250
0.750 0.250 0.500
0.750 0.500 0.250
```

Summary:
Energy of formation from the pure elements: -17 meV/atom
Size of the total moment: 12.6 μB per formula unit
Crystal system: cubic

Below is a relaxed structure of CdAs2P, with properties calculated at the GGA-PBE level.

Structure (POSCAR):
```
CdAs2P
1.0
6.175 0.000 0.000
0.000 9.414 0.000
-1.052 0.000 2.647
Cd As P
2 4 2
direct
0.000 0.000 0.000
0.500 0.500 0.000
0.250 0.250 0.500
0.250 0.750 0.500
0.750 0.250 0.500
0.750 0.750 0.500
0.000 0.500 0.000
0.500 0.000 0.000
```

Summary:
Distance to the lowest polymorph of the same formula: 360 meV per atom
Energy of formation from the pure elements: 471 meV/atom
Size of the total moment: 0.0 μB per formula unit
Crystal system: monoclinic

Below is a relaxed structure of BeSbTe2Pb, with properties calculated at the GGA-PBE level.

Structure (POSCAR):
```
BeSbTe2Pb
1.0
5.378 0.000 0.000
0.000 5.378 0.000
0.000 0.000 4.690
Be Sb Te Pb
1 1 2 1
direct
0.000 0.000 0.000
0.000 0.000 0.500
0.000 0.500 0.000
0.500 0.000 0.000
0.500 0.500 0.500
```

Summary:
Distance to the lowest polymorph of the same formula: 0 meV per atom
Size of the total moment: 0.0 μB per formula unit
Crystal system: tetragonal
Formation energy (no corrections): 0.2106 eV/atom